The following is a DFT calculation (GGA-PBE) of an optimized crystal structure of HgPRu2.

Results
- Space group: Fm-3m (225)
- Distance to the lowest polymorph of the same formula: 1.938 eV/f.u.
- Calculated density: 11.93 g cm⁻³
- Raw total energy: -22.6 eV/cell

abc: 4.403 4.403 4.403
angles: 60.00 60.00 60.00
Sites, in units of the cell vectors:
Hg: 0.000 0.000 0.000
P: 0.500 0.500 0.500
Ru: 0.250 0.250 0.250
Ru: 0.750 0.750 0.750



The following is a DFT calculation (GGA-PBE) of an optimized crystal structure of HgPRu2.

Results
- Space group: Cmm2 (35)
- Distance to the lowest polymorph of the same formula: 2.191 eV/f.u.
- Calculated density: 10.09 g cm⁻³
- Raw total energy: -22.3 eV/cell

abc: 2.782 2.782 10.469
angles: 90.00 90.00 118.27
Sites, in units of the cell vectors:
Hg: 0.000 0.000 0.000
P: 0.500 0.500 0.354
Ru: 0.000 0.000 0.532
Ru: 0.500 0.500 0.746



The following is a DFT calculation (GGA-PBE) of an optimized crystal structure of Hg2PRu.

Results
- Space group: P2/m (10)
- Calculated density: 11.80 g cm⁻³
- Raw total energy: -12.7 eV/cell

abc: 3.124 5.340 4.508
angles: 90.00 93.92 90.00
Sites, in units of the cell vectors:
Hg: 0.249 0.000 0.251
Hg: 0.751 0.000 0.749
P: 0.000 0.500 0.000
Ru: 0.500 0.500 0.500



The following is a DFT calculation (GGA-PBE) of an optimized crystal structure of HgPRu2.

Results
- Space group: I-4m2 (119)
- Distance to the lowest polymorph of the same formula: 2.948 eV/f.u.
- Calculated density: 11.55 g cm⁻³
- Raw total energy: -21.6 eV/cell

abc: 4.973 4.973 4.973
angles: 134.13 134.13 66.88
Sites, in units of the cell vectors:
Hg: 0.000 0.000 0.000
P: 0.250 0.750 0.500
Ru: 0.500 0.500 0.000
Ru: 0.750 0.250 0.500



The following is a DFT calculation (GGA-PBE) of an optimized crystal structure of Hg2PRu.

Results
- Space group: I4/mmm (139)
- Calculated density: 12.39 g cm⁻³
- Raw total energy: -12.7 eV/cell

abc: 5.396 5.396 5.396
angles: 137.27 137.27 62.02
Sites, in units of the cell vectors:
Hg: 0.250 0.750 0.500
Hg: 0.750 0.250 0.500
P: 0.000 0.000 0.000
Ru: 0.500 0.500 0.000



The following is a DFT calculation (GGA-PBE) of an optimized crystal structure of HgPRu2.

Results
- Space group: R3m (160)
- Distance to the lowest polymorph of the same formula: 1.316 eV/f.u.
- Calculated density: 11.07 g cm⁻³
- Raw total energy: -23.2 eV/cell

abc: 9.050 9.050 9.050
angles: 18.48 18.48 18.48
Sites, in units of the cell vectors:
Hg: 0.000 0.000 0.000
P: 0.232 0.232 0.232
Ru: 0.504 0.504 0.504
Ru: 0.757 0.757 0.757



Copy entry 4 word for word.
The following is a DFT calculation (GGA-PBE) of an optimized crystal structure of HgPRu2.

Results
- Space group: I-4m2 (119)
- Distance to the lowest polymorph of the same formula: 2.948 eV/f.u.
- Calculated density: 11.55 g cm⁻³
- Raw total energy: -21.6 eV/cell

abc: 4.973 4.973 4.973
angles: 134.13 134.13 66.88
Sites, in units of the cell vectors:
Hg: 0.000 0.000 0.000
P: 0.250 0.750 0.500
Ru: 0.500 0.500 0.000
Ru: 0.750 0.250 0.500



What is the formula in the fourth record? HgPRu2



raw total energy of number 6 (HgPRu2)? -23.2 eV/cell